Entry from Alexandria via LeMat-Bulk: a relaxed structure of LiCdIn2 (PBEsol).

Summary:
Total DFT energy (no corrections)   -2.3930 eV per atom
Crystal system   cubic
Space group   No. 216

Cell: 4.9927 4.9927 4.9927 Å, 60.00 60.00 60.00°
Closest atoms and distances in Å follow each position.
Fractional positions:
In 0.7500 0.7500 0.7500  4 Cd 3.06, 4 In 3.06
Li 0.2500 0.2500 0.2500  4 In 3.06, 4 Cd 3.06
Cd 0.5000 0.5000 0.5000  4 In 3.06, 4 Li 3.06
In 0.0000 0.0000 0.0000  4 In 3.06, 4 Li 3.06



Entry from Alexandria via LeMat-Bulk: a relaxed structure of Li2Cd2In (PBEsol).

Summary:
Crystal system   tetragonal
Space group   No. 127
Energy above the lowest structure with this stoichiometry   0 meV per atom

Cell: 3.2697 7.6846 7.6846 Å, 90.00 90.00 90.00°
Closest atoms and distances in Å follow each position.
Fractional positions:
Cd 0.0000 0.1327 0.3673  6 Li 2.74-2.82, 1 Cd 2.88, 2 In 3.00
In 0.0000 0.0000 0.0000  4 Cd 3.00, 2 In 3.27, 8 Li 3.30
Cd 0.0000 0.6327 0.1327  6 Li 2.74-2.82, 1 Cd 2.88, 2 In 3.00
In 0.0000 0.5000 0.5000  4 Cd 3.00, 2 In 3.27, 8 Li 3.30
Li 0.5000 0.8352 0.3352  6 Cd 2.74-2.82
Li 0.5000 0.3352 0.1648  6 Cd 2.74-2.82
Li 0.5000 0.1648 0.6648  6 Cd 2.74-2.82
Cd 0.0000 0.8673 0.6327  6 Li 2.74-2.82, 1 Cd 2.88, 2 In 3.00
Li 0.5000 0.6648 0.8352  6 Cd 2.74-2.82
Cd 0.0000 0.3673 0.8673  6 Li 2.74-2.82, 1 Cd 2.88, 2 In 3.00



Entry from Alexandria via LeMat-Bulk: a relaxed structure of Li2Cd2In (PBEsol).

Summary:
Crystal system   tetragonal
Space group   No. 139
Energy above the lowest structure with this stoichiometry   155 meV per atom

Cell: 3.8309 3.8309 7.6600 Å, 104.48 104.48 90.00°
Closest atoms and distances in Å follow each position.
Fractional positions:
Cd 0.3940 0.3940 0.7879  4 Li 2.82, 1 Cd 3.04, 4 In 3.11
Li 0.2500 0.7500 0.5000  4 Li 2.71, 4 Cd 2.82
Cd 0.6060 0.6060 0.2121  4 Li 2.82, 1 Cd 3.04, 4 In 3.11
In 0.0000 0.0000 0.0000  8 Cd 3.11
Li 0.7500 0.2500 0.5000  4 Li 2.71, 4 Cd 2.82



Entry from Alexandria via LeMat-Bulk: a relaxed structure of LiCdIn2 (PBEsol).

Summary:
Total DFT energy (no corrections)   -2.4154 eV per atom
Crystal system   monoclinic
Space group   No. 12

Cell: 3.3378 5.0582 5.5359 Å, 99.95 90.00 109.27°
Closest atoms and distances in Å follow each position.
Fractional positions:
Li 0.0000 0.0000 0.5000  6 In 2.95-2.99, 4 Cd 3.23
In 0.2525 0.5050 0.2621  3 Li 2.95-2.99, 3 Cd 2.99-3.07, 2 In 3.13
In 0.7475 0.4950 0.7379  3 Li 2.95-2.99, 3 Cd 2.99-3.07, 2 In 3.13
Cd 0.5000 0.0000 0.0000  6 In 2.99-3.07, 4 Li 3.23, 2 Cd 3.34



Entry from Alexandria via LeMat-Bulk: a relaxed structure of LiCdIn2 (PBEsol).

Summary:
Total DFT energy (no corrections)   -2.4445 eV per atom
Crystal system   tetragonal
Space group   No. 119

Cell: 4.4250 4.4250 5.3692 Å, 114.34 114.34 90.00°
Closest atoms and distances in Å follow each position.
Fractional positions:
Li 0.0000 0.0000 0.0000  4 Cd 3.11, 8 In 3.11-3.13
Cd 0.7500 0.2500 0.5000  8 In 3.11-3.13, 4 Li 3.11
In 0.5000 0.5000 0.0000  4 Cd 3.11, 4 In 3.11, 4 Li 3.13
In 0.2500 0.7500 0.5000  4 In 3.11, 4 Li 3.11, 4 Cd 3.13



Entry from Alexandria via LeMat-Bulk: a relaxed structure of Lu2CdIn (PBEsol).

Summary:
Total DFT energy (no corrections)   -3.8865 eV per atom
Crystal system   cubic
Space group   No. 225

Cell: 5.1089 5.1089 5.1089 Å, 60.00 60.00 60.00°
Closest atoms and distances in Å follow each position.
Fractional positions:
Cd 0.5000 0.5000 0.5000  8 Lu 3.13
Lu 0.2500 0.2500 0.2500  4 In 3.13, 4 Cd 3.13
Lu 0.7500 0.7500 0.7500  4 Cd 3.13, 4 In 3.13
In 0.0000 0.0000 0.0000  8 Lu 3.13



Entry from Alexandria via LeMat-Bulk: a relaxed structure of Mg2CdIn (PBEsol).

Summary:
Total DFT energy (no corrections)   -2.0133 eV per atom
Crystal system   orthorhombic
Space group   No. 25

Cell: 3.1914 5.1585 5.2496 Å, 90.00 90.00 90.00°
Closest atoms and distances in Å follow each position.
Fractional positions:
Mg 0.0000 0.0000 0.0580  4 Cd 3.06-3.09, 4 In 3.11, 4 Mg 3.19-3.23
Mg 0.0000 0.5000 0.6890  4 In 3.06-3.08, 4 Cd 3.11, 4 Mg 3.19-3.23
Cd 0.5000 0.0000 0.5615  8 Mg 3.06-3.11, 2 Cd 3.19, 2 In 3.23
In 0.5000 0.5000 0.1914  8 Mg 3.06-3.11, 2 In 3.19, 2 Cd 3.23



Entry from Alexandria via LeMat-Bulk: a relaxed structure of MgCdIn2 (PBEsol).

Summary:
Total DFT energy (no corrections)   -2.2849 eV per atom
Crystal system   tetragonal
Space group   No. 123

Cell: 4.5538 4.3898 4.5590 Å, 90.00 90.00 90.00°
Closest atoms and distances in Å follow each position.
Fractional positions:
In 0.5000 0.0000 0.5000  4 Cd 3.16, 4 Mg 3.16, 4 In 3.22
Cd 0.0000 0.5000 0.5000  8 In 3.16, 4 Mg 3.22
In 0.0000 0.0000 0.0000  4 Mg 3.16, 4 Cd 3.16, 4 In 3.22
Mg 0.5000 0.5000 0.0000  8 In 3.16, 4 Cd 3.22



Entry from Alexandria via LeMat-Bulk: a relaxed structure of Mg2CdIn (PBEsol).

Summary:
Total DFT energy (no corrections)   -1.9889 eV per atom
Crystal system   monoclinic
Space group   No. 12

Cell: 3.2167 5.1581 5.7202 Å, 100.57 90.00 108.17°
Closest atoms and distances in Å follow each position.
Fractional positions:
In 0.5000 0.0000 0.0000  6 Mg 3.07, 2 In 3.22, 4 Cd 3.28
Mg 0.7483 0.4965 0.7442  3 Cd 3.02-3.06, 3 In 3.07, 6 Mg 3.22-3.33
Cd 0.0000 0.0000 0.5000  6 Mg 3.02-3.06, 2 Cd 3.22, 4 In 3.28
Mg 0.2517 0.5035 0.2558  3 Cd 3.02-3.06, 3 In 3.07, 6 Mg 3.22-3.33



Entry from Alexandria via LeMat-Bulk: a relaxed structure of MgCdIn2 (PBEsol).

Summary:
Total DFT energy (no corrections)   -2.2634 eV per atom
Crystal system   orthorhombic
Space group   No. 65

Cell: 3.2376 3.2376 8.7308 Å, 90.00 90.00 89.86°
Closest atoms and distances in Å follow each position.
Fractional positions:
In 0.0000 0.0000 0.2522  4 Mg 3.15, 4 Cd 3.17-3.18, 4 In 3.24
In 0.0000 0.0000 0.7478  4 Mg 3.15, 4 Cd 3.17-3.18, 4 In 3.24
Cd 0.5000 0.5000 0.0000  8 In 3.17-3.18, 4 Cd 3.24
Mg 0.5000 0.5000 0.5000  8 In 3.15, 4 Mg 3.24



Entry from Alexandria via LeMat-Bulk: a relaxed structure of Mg2Cd2In (PBEsol).

Summary:
Total DFT energy (no corrections)   -1.8186 eV per atom
Crystal system   tetragonal
Space group   No. 127

Cell: 3.1377 8.4241 8.4241 Å, 90.00 90.00 90.00°
Closest atoms and distances in Å follow each position.
Fractional positions:
In 0.0000 0.5000 0.5000  2 In 3.14, 4 Cd 3.34, 8 Mg 3.48
Mg 0.5000 0.6757 0.8243  6 Cd 2.86-3.00, 2 Mg 3.14
Mg 0.5000 0.3243 0.1757  6 Cd 2.86-3.00, 2 Mg 3.14
Mg 0.5000 0.8243 0.3243  6 Cd 2.86-3.00, 2 Mg 3.14
In 0.0000 0.0000 0.0000  2 In 3.14, 4 Cd 3.34, 8 Mg 3.48
Cd 0.0000 0.1231 0.3769  6 Mg 2.86-3.00, 3 Cd 2.93-3.14
Cd 0.0000 0.3769 0.8769  6 Mg 2.86-3.00, 3 Cd 2.93-3.14
Cd 0.0000 0.6231 0.1231  6 Mg 2.86-3.00, 3 Cd 2.93-3.14
Mg 0.5000 0.1757 0.6757  6 Cd 2.86-3.00, 2 Mg 3.14
Cd 0.0000 0.8769 0.6231  6 Mg 2.86-3.00, 3 Cd 2.93-3.14



Entry from Alexandria via LeMat-Bulk: a relaxed structure of MgCdIn2 (PBEsol).

Summary:
Total DFT energy (no corrections)   -2.2670 eV per atom
Crystal system   monoclinic
Space group   No. 10

Cell: 3.3025 4.3904 6.3146 Å, 90.00 90.07 90.00°
Closest atoms and distances in Å follow each position.
Fractional positions:
Mg 0.5000 0.5000 0.0000  2 Cd 3.16, 8 In 3.17, 2 Mg 3.30
In 0.0009 0.0000 0.2504  4 In 3.15-3.30, 4 Cd 3.16-3.17, 4 Mg 3.17
In 0.9991 0.0000 0.7496  4 In 3.15-3.30, 4 Cd 3.16-3.17, 4 Mg 3.17
Cd 0.5000 0.5000 0.5000  2 Mg 3.16, 8 In 3.16-3.17, 2 Cd 3.30



Entry from Alexandria via LeMat-Bulk: a relaxed structure of MgCdIn2 (PBEsol).

Summary:
Total DFT energy (no corrections)   -2.2684 eV per atom
Crystal system   monoclinic
Space group   No. 12

Cell: 3.3593 5.4161 5.3957 Å, 99.30 108.14 90.00°
Closest atoms and distances in Å follow each position.
Fractional positions:
Mg 0.5000 0.0000 0.0000  6 In 3.10-3.16, 4 Cd 3.19, 2 Mg 3.36
In 0.7504 0.7513 0.5008  3 Mg 3.10-3.16, 3 Cd 3.10-3.17, 6 In 3.18-3.36
Cd 0.0000 0.5000 0.0000  6 In 3.10-3.17, 4 Mg 3.19, 2 Cd 3.36
In 0.2496 0.2487 0.4992  3 Mg 3.10-3.16, 3 Cd 3.10-3.17, 6 In 3.18-3.36



Entry from Alexandria via LeMat-Bulk: a relaxed structure of Mg2CdIn (PBEsol).

Summary:
Total DFT energy (no corrections)   -2.0192 eV per atom
Crystal system   orthorhombic
Space group   No. 47

Cell: 3.1367 4.3363 6.3451 Å, 90.00 90.00 90.00°
Closest atoms and distances in Å follow each position.
Fractional positions:
Mg 0.0000 0.0000 0.2443  4 Cd 3.09, 4 Mg 3.10-3.25, 4 In 3.13
In 0.5000 0.5000 0.5000  8 Mg 3.13, 2 In 3.14, 2 Cd 3.17
Cd 0.5000 0.5000 0.0000  8 Mg 3.09, 2 Cd 3.14, 2 In 3.17
Mg 0.0000 0.0000 0.7557  4 Cd 3.09, 4 Mg 3.10-3.25, 4 In 3.13



Entry from Alexandria via LeMat-Bulk: a relaxed structure of MgCdIn2 (PBEsol).

Summary:
Total DFT energy (no corrections)   -2.2785 eV per atom
Crystal system   tetragonal
Space group   No. 119

Cell: 4.4434 4.4434 5.5798 Å, 113.46 113.46 90.00°
Closest atoms and distances in Å follow each position.
Fractional positions:
Mg 0.5000 0.5000 0.0000  8 In 3.14-3.20, 4 Cd 3.20
In 0.7500 0.2500 0.5000  4 Cd 3.14, 4 In 3.20, 4 Mg 3.20
In 0.0000 0.0000 0.0000  4 Mg 3.14, 4 Cd 3.20, 4 In 3.20
Cd 0.2500 0.7500 0.5000  8 In 3.14-3.20, 4 Mg 3.20



Entry from Alexandria via LeMat-Bulk: a relaxed structure of Mg2CdIn (PBEsol).

Summary:
Total DFT energy (no corrections)   -2.0190 eV per atom
Crystal system   tetragonal
Space group   No. 139

Cell: 4.5250 4.5250 5.2969 Å, 115.29 115.29 90.00°
Closest atoms and distances in Å follow each position.
Fractional positions:
In 0.0000 0.0000 0.0000  8 Mg 3.09, 4 Cd 3.20
Mg 0.7500 0.2500 0.5000  4 Cd 3.09, 4 In 3.09, 4 Mg 3.20
Cd 0.5000 0.5000 0.0000  8 Mg 3.09, 4 In 3.20
Mg 0.2500 0.7500 0.5000  4 Cd 3.09, 4 In 3.09, 4 Mg 3.20



Entry from Alexandria via LeMat-Bulk: a relaxed structure of Mg2CdIn (PBEsol).

Summary:
Total DFT energy (no corrections)   -1.9234 eV per atom
Crystal system   cubic
Space group   No. 216

Cell: 5.0095 5.0095 5.0095 Å, 60.00 60.00 60.00°
Closest atoms and distances in Å follow each position.
Fractional positions:
In 0.2500 0.2500 0.2500  4 Mg 3.07, 4 Cd 3.07
Cd 0.5000 0.5000 0.5000  4 In 3.07, 4 Mg 3.07
Mg 0.7500 0.7500 0.7500  4 Cd 3.07, 4 Mg 3.07
Mg 0.0000 0.0000 0.0000  4 Mg 3.07, 4 In 3.07



Entry from Alexandria via LeMat-Bulk: a relaxed structure of Mg2CdIn (PBEsol).

Summary:
Total DFT energy (no corrections)   -2.0161 eV per atom
Crystal system   orthorhombic
Space group   No. 65

Cell: 3.0930 5.4212 5.4212 Å, 107.89 90.00 90.00°
Closest atoms and distances in Å follow each position.
Fractional positions:
Cd 0.5000 0.0000 0.0000  2 Cd 3.09, 8 Mg 3.12, 2 In 3.19
In 0.5000 0.5000 0.5000  2 In 3.09, 8 Mg 3.12, 2 Cd 3.19
Mg 0.0000 0.0000 0.5000  4 Mg 3.09-3.19, 4 In 3.12, 4 Cd 3.12
Mg 0.0000 0.5000 0.0000  4 Mg 3.09-3.19, 4 Cd 3.12, 4 In 3.12



Entry from Alexandria via LeMat-Bulk: a relaxed structure of MgCdIn (PBEsol).

Summary:
Total DFT energy (no corrections)   -2.0079 eV per atom
Crystal system   trigonal
Space group   No. 156

Cell: 3.2126 4.9425 4.9425 Å, 120.00 90.00 90.00°
Closest atoms and distances in Å follow each position.
Fractional positions:
Mg 0.3342 0.6667 0.3333  2 Mg 3.21, 6 Cd 3.27-3.28, 6 In 3.27-3.28
In 0.8354 0.3333 0.6667  3 Cd 2.85
Cd 0.8304 0.0000 0.0000  3 In 2.85



Entry from Alexandria via LeMat-Bulk: a relaxed structure of MgCdIn2 (PBEsol).

Summary:
Total DFT energy (no corrections)   -2.2692 eV per atom
Crystal system   orthorhombic
Space group   No. 25

Cell: 3.3235 4.3939 6.2740 Å, 90.00 90.00 90.00°
Closest atoms and distances in Å follow each position.
Fractional positions:
In 0.0000 0.0000 0.9942  2 Mg 3.07-3.20, 4 Cd 3.17, 6 In 3.21-3.32
Cd 0.5000 0.5000 0.7433  6 In 3.04-3.23, 4 Mg 3.14, 2 Cd 3.32
In 0.5000 0.5000 0.2581  2 Cd 3.04-3.23, 4 Mg 3.16, 6 In 3.21-3.32
Mg 0.0000 0.0000 0.5044  6 In 3.07-3.20, 4 Cd 3.14, 2 Mg 3.32



no.,magnetic moment (μB/f.u.)
1,0.000
2,0.000
3,0.000
4,0.000
5,0.000
6,0.000
7,0.000
8,0.000
9,0.000
10,0.000
11,0.000
12,0.000
13,0.000
14,0.000
15,0.000
16,0.000
17,0.000
18,0.000
19,0.000
20,0.000